A geometry-optimized LiCoAsPt2 structure, computed with GGA-PBE.

```
data_LiCoAsPt2
_chemical_formula_sum 'Li1 Co1 As1 Pt2'
_symmetry_space_group_name_H-M 'P 4/m m m'
_symmetry_Int_Tables_number 123
_symmetry_space_group_name_Hall '-P 4 2'
_cell_length_a 4.658
_cell_length_b 4.658
_cell_length_c 4.360
_cell_angle_alpha 90.00
_cell_angle_beta 90.00
_cell_angle_gamma 90.00
loop_
_atom_site_label
_atom_site_type_symbol
_atom_site_fract_x
_atom_site_fract_y
_atom_site_fract_z
_atom_site_occupancy
Li1 Li 0.000 0.000 0.000 1
Co1 Co 0.500 0.500 0.000 1
As1 As 0.000 0.000 0.500 1
Pt1 Pt 0.000 0.500 0.500 1
```

As for the formation energy: 555 meV/atom. The uncorrected energy comes out at -4.60 eV per atom. As for the total magnetization: 2.219 μB/f.u.

A geometry-optimized LiCo2AsPt structure, computed with GGA-PBE.

```
data_LiCo2AsPt
_chemical_formula_sum 'Li1 Co2 As1 Pt1'
_symmetry_space_group_name_H-M 'P 4/m m m'
_symmetry_Int_Tables_number 123
_symmetry_space_group_name_Hall '-P 4 2'
_cell_length_a 3.996
_cell_length_b 3.996
_cell_length_c 4.183
_cell_angle_alpha 90.00
_cell_angle_beta 90.00
_cell_angle_gamma 90.00
loop_
_atom_site_label
_atom_site_type_symbol
_atom_site_fract_x
_atom_site_fract_y
_atom_site_fract_z
_atom_site_occupancy
Li1 Li 0.000 0.000 0.000 1
Co1 Co 0.000 0.500 0.000 1
As1 As 0.000 0.000 0.500 1
Pt1 Pt 0.500 0.500 0.500 1
```

As for the formation energy: 732 meV/atom. The uncorrected energy comes out at -4.63 eV per atom. As for the total magnetization: 2.950 μB/f.u.

A geometry-optimized Li2CoAs2Rh structure, computed with GGA-PBE.

```
data_Li2CoAs2Rh
_chemical_formula_sum 'Li8 Co4 As8 Rh4'
_symmetry_space_group_name_H-M 'I b a m'
_symmetry_Int_Tables_number 72
_symmetry_space_group_name_Hall '-I 2 2c'
_cell_length_a 5.517
_cell_length_b 12.116
_cell_length_c 5.579
_cell_angle_alpha 90.00
_cell_angle_beta 90.00
_cell_angle_gamma 90.00
loop_
_atom_site_label
_atom_site_type_symbol
_atom_site_fract_x
_atom_site_fract_y
_atom_site_fract_z
_atom_site_occupancy
Li1 Li 0.244 0.163 0.000 1
Co1 Co 0.000 0.500 0.250 1
As1 As 0.228 0.383 0.000 1
Rh1 Rh 0.000 0.000 0.250 1
```

As for the formation energy: -567 meV/atom. The uncorrected energy comes out at -5.16 eV per atom. As for the total magnetization: 0.701 μB/f.u.

A geometry-optimized Li3Co2As4Rh2 structure, computed with GGA-PBE.

```
data_Li3Co2As4Rh2
_chemical_formula_sum 'Li3 Co2 As4 Rh2'
_symmetry_space_group_name_H-M 'P -3 m 1'
_symmetry_Int_Tables_number 164
_symmetry_space_group_name_Hall '-P 3 2"'
_cell_length_a 4.1332
_cell_length_b 4.1332
_cell_length_c 11.2606
_cell_angle_alpha 90.00
_cell_angle_beta 90.00
_cell_angle_gamma 120.00
loop_
_atom_site_label
_atom_site_type_symbol
_atom_site_fract_x
_atom_site_fract_y
_atom_site_fract_z
_atom_site_occupancy
Li1 Li 0.0000 0.0000 0.0000 1
Li2 Li 0.0000 0.0000 0.2684 1
Co1 Co 0.3333 0.6667 0.5765 1
As1 As 0.3333 0.6667 0.3742 1
As2 As 0.3333 0.6667 0.8969 1
Rh1 Rh 0.3333 0.6667 0.1274 1
```

As for the formation energy: -348 meV/atom. The uncorrected energy comes out at -5.19 eV per atom. As for the total magnetization: 0.663 μB/f.u.